A relaxed structure of InGa2Rh, computed with GGA-PBE. Values from VASP.

```
&SYSTEM
  ibrav = 0, nat = 4, ntyp = 3
/
ATOMIC_SPECIES
In 114.82 In.upf
Ga 69.72 Ga.upf
Rh 102.91 Rh.upf
ATOMIC_POSITIONS crystal
In 0.0000 0.0000 0.0000
Ga 0.2351 0.2351 0.2351
Ga 0.7649 0.7649 0.7649
Rh 0.5000 0.5000 0.5000
CELL_PARAMETERS angstrom
1.5772 0.9106 8.6988
-1.5772 0.9106 8.6988
0.0000 -1.8212 8.6988
```

Values from the calculation:
**Theoretical density**: 7.91 g/cm³
**Energy of formation from the pure elements**: -0.206 eV per atom